# 1
VASP calculation (GGA-PBE) on a geometry-optimized TiVP structure.

Cell: 3.295 3.571 7.360 Å, 90.00 90.00 90.00°
Positions (direct):
Ti (0.000, 0.000, 0.000)
Ti (0.500, 0.000, 0.347)
V (0.000, 0.500, 0.621)
V (0.500, 0.000, 0.680)
P (0.000, 0.500, 0.266)
P (0.500, 0.500, 0.896)

Energy relative to the elements = -0.667 eV/atom
Spin magnetization = 0.000 μB/f.u.
Symmetry = Pmm2

---

# 2
VASP calculation (GGA-PBE) on a geometry-optimized TiVP structure.

Cell: 4.626 4.626 6.069 Å, 99.87 99.87 40.98°
Positions (direct):
Ti (0.000, 0.000, 0.000)
Ti (0.712, 0.712, 0.867)
V (0.367, 0.367, 0.595)
V (0.645, 0.645, 0.340)
P (0.072, 0.072, 0.594)
P (0.323, 0.323, 0.190)

Energy relative to the elements = -0.695 eV/atom
Spin magnetization = 0.000 μB/f.u.
Symmetry = Cm

---

# 3
VASP calculation (GGA-PBE) on a geometry-optimized Ti3V5P2 structure.

Cell: 8.300 8.300 8.300 Å, 109.97 81.25 144.15°
Positions (direct):
Ti (0.169, 0.734, 0.903)
Ti (0.250, 0.250, 0.000)
Ti (0.331, 0.234, 0.565)
Ti (0.669, 0.766, 0.435)
Ti (0.750, 0.750, 0.000)
Ti (0.831, 0.266, 0.097)
V (0.045, 0.250, 0.795)
V (0.145, 0.429, 0.574)
V (0.250, 0.750, 0.500)
V (0.355, 0.929, 0.284)
V (0.455, 0.250, 0.205)
V (0.545, 0.750, 0.795)
V (0.645, 0.071, 0.716)
V (0.750, 0.250, 0.500)
V (0.855, 0.571, 0.426)
V (0.955, 0.750, 0.205)
P (0.116, 0.185, 0.301)
P (0.384, 0.685, 0.068)
P (0.616, 0.315, 0.932)
P (0.884, 0.815, 0.699)

Energy relative to the elements = -0.220 eV/atom
Spin magnetization = 0.000 μB/f.u.
Symmetry = Ibam

---

# 4
VASP calculation (GGA-PBE) on a geometry-optimized TiVP structure.

Cell: 6.371 3.340 7.655 Å, 90.00 90.00 90.00°
Positions (direct):
Ti (0.042, 0.250, 0.168)
Ti (0.458, 0.750, 0.668)
Ti (0.542, 0.250, 0.332)
Ti (0.958, 0.750, 0.832)
V (0.133, 0.250, 0.560)
V (0.367, 0.750, 0.060)
V (0.633, 0.250, 0.940)
V (0.867, 0.750, 0.440)
P (0.246, 0.750, 0.360)
P (0.254, 0.250, 0.860)
P (0.746, 0.750, 0.140)
P (0.754, 0.250, 0.640)

Energy relative to the elements = -1.069 eV/atom
Spin magnetization = 0.000 μB/f.u.
Symmetry = Pnma